Record 1
Ce3Dy2ScS6 after structural relaxation. Source: Alexandria, functional PBE-GGA.

```
Ce3Dy2ScS6
1.0
6.770 -0.003 -0.002
-3.386 5.862 -0.002
-1.130 -1.957 6.507
Ce Dy Sc S
3 2 1 6
Direct
0.169 0.831 0.500
0.831 0.169 0.500
0.500 0.500 0.500
0.334 0.666 0.000
0.666 0.334 0.000
0.000 0.000 0.000
0.923 0.598 0.768
0.754 0.754 0.235
0.077 0.402 0.232
0.598 0.923 0.768
0.246 0.246 0.765
0.402 0.077 0.232
```

Values from the calculation:
* V: 258.11 Å³/f.u.
* total magnetic moment: 2.46 μB/cell
* space-group type: C2/m
* E_tot: -0.25130 hartree per atom

---

Record 2
Ce3DySc2S6 after structural relaxation. Source: Alexandria, functional PBE-GGA.

```
Ce3DySc2S6
1.0
-4.481 4.967 -0.228
-1.174 -5.723 -3.265
-1.033 -2.144 6.422
Ce Dy Sc S
3 1 2 6
Direct
0.164 0.836 0.500
0.836 0.164 0.500
0.500 0.500 0.500
0.000 0.000 0.000
0.333 0.667 0.000
0.667 0.333 0.000
0.924 0.581 0.771
0.732 0.732 0.225
0.076 0.419 0.229
0.581 0.924 0.771
0.268 0.268 0.775
0.419 0.076 0.229
```

Values from the calculation:
* V: 250.99 Å³/f.u.
* total magnetic moment: 2.43 μB/cell
* space-group type: C2/m
* E_tot: -0.25555 hartree per atom

---

Record 3
Ce2DyScS6 after structural relaxation. Source: Alexandria, functional PBE-GGA.

```
Ce2DyScS6
1.0
-0.650 -6.832 1.192
3.923 -4.541 -3.538
5.352 -3.449 3.504
Ce Dy Sc S
2 1 1 6
Direct
0.525 0.525 0.426
0.023 0.023 0.932
0.816 0.816 0.551
0.319 0.319 0.042
0.592 0.196 0.256
0.196 0.955 0.256
0.955 0.592 0.256
0.438 0.688 0.765
0.688 0.109 0.765
0.109 0.438 0.765
```

Values from the calculation:
* V: 254.38 Å³/f.u.
* total magnetic moment: 2.02 μB/cell
* space-group type: R3
* E_tot: -0.24616 hartree per atom

---

Record 4
Ce2Dy3ScS6 after structural relaxation. Source: Alexandria, functional PBE-GGA.

```
Ce2Dy3ScS6
1.0
3.903 0.000 0.000
0.000 7.863 0.271
-1.951 -2.275 8.222
Ce Dy Sc S
2 3 1 6
Direct
0.833 0.665 0.667
0.167 0.335 0.333
0.500 0.500 0.000
0.832 0.167 0.664
0.168 0.833 0.336
0.500 0.000 0.000
0.338 0.926 0.676
0.664 0.590 0.327
0.662 0.074 0.324
0.997 0.238 0.994
0.003 0.762 0.006
0.336 0.410 0.673
```

Values from the calculation:
* V: 254.69 Å³/f.u.
* total magnetic moment: 1.63 μB/cell
* space-group type: C2/m
* E_tot: -0.24651 hartree per atom

---

Record 5
CeDy2ScS6 after structural relaxation. Source: Alexandria, functional PBE-GGA.

```
CeDy2ScS6
1.0
-2.627 6.322 -0.693
-2.897 3.133 5.398
3.583 5.571 3.075
Ce Dy Sc S
1 2 1 6
Direct
0.812 0.812 0.565
0.520 0.520 0.439
0.014 0.014 0.958
0.320 0.320 0.039
0.597 0.220 0.248
0.220 0.936 0.248
0.936 0.597 0.248
0.402 0.710 0.757
0.710 0.132 0.757
0.132 0.402 0.757
```

Values from the calculation:
* V: 251.30 Å³/f.u.
* total magnetic moment: 1.04 μB/cell
* space-group type: R3
* E_tot: -0.24200 hartree per atom

---

Record 6
CeDy2Sc3S6 after structural relaxation. Source: Alexandria, functional PBE-GGA.

```
CeDy2Sc3S6
1.0
-3.447 -1.285 0.973
1.196 -6.349 -4.152
4.611 -1.394 7.054
Ce Dy Sc S
1 2 3 6
Direct
0.500 0.000 0.000
0.835 0.669 0.669
0.165 0.331 0.331
0.500 0.500 0.000
0.835 0.163 0.669
0.165 0.837 0.331
0.326 0.923 0.653
0.664 0.593 0.328
0.674 0.077 0.347
0.996 0.267 0.993
0.004 0.733 0.007
0.336 0.407 0.672
```

Values from the calculation:
* V: 236.61 Å³/f.u.
* total magnetic moment: 0.79 μB/cell
* space-group type: C2/m
* E_tot: -0.25126 hartree per atom

---

Record 7
CeDy4ScS8 after structural relaxation. Source: Alexandria, functional PBE-GGA.

```
CeDy4ScS8
1.0
-5.244 -0.377 6.169
-7.296 -3.360 -1.083
-1.789 -6.978 3.377
Ce Dy Sc S
1 4 1 8
Direct
0.381 0.381 0.858
0.620 0.620 0.139
0.000 0.500 0.500
0.500 0.000 0.500
0.000 0.000 0.500
0.000 0.000 0.000
0.231 0.790 0.749
0.790 0.231 0.749
0.231 0.231 0.749
0.240 0.240 0.279
0.765 0.223 0.247
0.223 0.765 0.247
0.765 0.765 0.247
0.756 0.756 0.733
```

Values from the calculation:
* V: 366.13 Å³/f.u.
* total magnetic moment: 1.74 μB/cell
* space-group type: R3m
* E_tot: -0.23658 hartree per atom

---

Record 8
CeDySeS after structural relaxation. Source: Alexandria, functional PBE-GGA.

```
CeDySeS
1.0
4.022 0.000 0.000
2.011 3.483 0.000
2.011 1.161 6.734
Ce Dy Se S
1 1 1 1
Direct
0.994 0.994 0.018
0.507 0.507 0.480
0.754 0.754 0.739
0.246 0.246 0.263
```

Values from the calculation:
* V: 94.32 Å³/f.u.
* total magnetic moment: 0.94 μB/cell
* space-group type: R3m
* E_tot: -0.23710 hartree per atom